# La7Sm3Ho2

A geometry-optimized La7Sm3Ho2 structure (GGA-PBE, the Alexandria database).

extended XYZ file:
```
12
Lattice="5.9923 0.0000 0.0000 0.0000 3.6374 0.0000 -1.2973 0.0000 19.4281" Properties=species:S:1:pos:R:3 pbc="T T T"
La 0.0000 0.0000 0.0000
La 0.8017 1.8187 3.5854
La 0.8509 1.8187 10.3548
La 0.8637 0.0000 16.5758
La 3.8314 0.0000 2.8523
La 3.8441 1.8187 9.0733
La 3.8933 1.8187 15.8427
Sm 0.8240 0.0000 7.0789
Sm 2.9962 1.8187 0.0000
Sm 3.8710 0.0000 12.3492
Ho 0.8571 1.8187 13.6333
Ho 3.8379 1.8187 5.7948
```

Properties
DFT formation energy = 0.09 eV/atom
magnetic moment = 0.00 μB per cell
relative energy among the computed polymorphs = 22 meV/atom
symmetry = P2/m